No. 1
## CaSn3Hg6 (PBE)

Data for a geometry-optimized CaSn3Hg6 structure.

Geometry as extended XYZ:
```
10
Lattice="9.946 5.743 1.037 -9.946 5.743 1.037 0.000 -11.485 1.037" Properties=species:S:1:pos:R:3 pbc="T T T"
Ca 0.000 0.000 0.000
Sn -5.129 -2.961 2.096
Sn 5.129 -2.961 2.096
Sn 0.000 5.922 2.096
Hg -2.660 -1.536 1.659
Hg 0.000 -2.916 1.521
Hg -2.525 1.458 1.521
Hg 2.660 -1.536 1.659
Hg 0.000 3.072 1.659
Hg 2.525 1.458 1.521
```

Summary:
calculated total energy: -14.72 eV per cell
total magnetic moment: 0.00 μB per atom
formation enthalpy at 0 K: 0.111 eV/atom
space group: R3m, No. 160

=====

No. 2
## Ca3SnHg (PBE)

Data for a geometry-optimized Ca3SnHg structure.

Geometry as extended XYZ:
```
10
Lattice="2.696 -10.629 0.000 2.696 10.629 0.000 0.000 0.000 5.398" Properties=species:S:1:pos:R:3 pbc="T T T"
Ca 2.696 9.129 4.048
Ca 2.696 5.312 4.048
Ca 2.696 1.502 4.048
Ca 2.696 -1.502 1.349
Ca 2.696 -5.312 1.349
Ca 2.696 -9.129 1.349
Sn 2.696 7.240 1.349
Sn 2.696 -7.240 4.048
Hg 2.696 3.263 1.349
Hg 2.696 -3.263 4.048
```

Summary:
calculated total energy: -25.97 eV per cell
total magnetic moment: 0.00 μB per atom
formation enthalpy at 0 K: -0.535 eV/atom
space group: Cmcm, No. 63

=====

No. 3
## CaSnHg (PBE)

Data for a geometry-optimized CaSnHg structure.

Geometry as extended XYZ:
```
6
Lattice="3.659 0.000 0.000 0.000 5.213 0.000 -0.115 0.000 8.508" Properties=species:S:1:pos:R:3 pbc="T T T"
Ca 0.006 1.303 2.184
Ca 3.539 3.910 6.325
Sn 1.544 1.303 7.798
Sn 2.001 3.910 0.710
Hg 1.666 3.910 3.610
Hg 1.879 1.303 4.898
```

Summary:
calculated total energy: -15.22 eV per cell
total magnetic moment: 0.00 μB per atom
formation enthalpy at 0 K: -0.435 eV/atom
space group: P2_1/m, No. 11

=====

- Among the records above, which one has the highest calculated total energy?
  CaSn3Hg6